Computed, not measured: a relaxed Rb3Pr2PaO6 crystal at the GGA-PBE level of DFT.

Energy in eV per cell: -81.52

abc: 6.3932 6.3932 6.9955
angles: 98.84 98.84 119.99
Sites, in units of the cell vectors:
1 Rb 0.0000 0.0000 0.0000
2 Rb 0.3322 0.6678 0.0000
3 Rb 0.6678 0.3322 0.0000
4 Pr 0.1666 0.8334 0.5000
5 Pr 0.8334 0.1666 0.5000
6 Pa 0.5000 0.5000 0.5000
7 O 0.1350 0.4425 0.3280
8 O 0.2506 0.2506 0.6722
9 O 0.4425 0.1350 0.3280
10 O 0.5575 0.8650 0.6720
11 O 0.7494 0.7494 0.3278
12 O 0.8650 0.5575 0.6720



Computed, not measured: a relaxed BaZn2Cu3 crystal at the GGA-PBE level of DFT.

Energy in eV per cell: -35.03

abc: 6.6929 6.6929 5.2108
angles: 90.00 90.00 77.07
Sites, in units of the cell vectors:
1 Ba 0.1764 0.8236 0.7500
2 Ba 0.8236 0.1764 0.2500
3 Zn 0.2946 0.2946 0.0000
4 Zn 0.2946 0.2946 0.5000
5 Zn 0.7054 0.7054 0.0000
6 Zn 0.7054 0.7054 0.5000
7 Cu 0.0387 0.5683 0.2500
8 Cu 0.4233 0.5767 0.2500
9 Cu 0.4317 0.9613 0.2500
10 Cu 0.5683 0.0387 0.7500
11 Cu 0.5767 0.4233 0.7500
12 Cu 0.9613 0.4317 0.7500



Computed, not measured: a relaxed CdCuIO2 crystal at the GGA-PBE level of DFT.

E above lowest polymorph in eV per atom: 0.000

abc: 4.0143 4.0143 5.3027
angles: 90.00 90.00 90.00
Sites, in units of the cell vectors:
1 Cd 0.0000 0.0000 0.0000
2 Cu 0.5000 0.5000 0.5000
3 I 0.5000 0.5000 0.0000
4 O 0.0000 0.5000 0.5000
5 O 0.5000 0.0000 0.5000



Computed, not measured: a relaxed Y3Ni5H12 crystal at the GGA-PBE level of DFT.

Energy in eV per cell: -376.75

abc: 9.7500 9.7500 9.7500
angles: 109.47 109.47 109.47
Sites, in units of the cell vectors:
1 Y 0.1250 0.2500 0.3750
2 Y 0.1250 0.3750 0.7500
3 Y 0.2500 0.3750 0.1250
4 Y 0.2500 0.8750 0.6250
5 Y 0.3750 0.1250 0.2500
6 Y 0.3750 0.7500 0.1250
7 Y 0.6250 0.2500 0.8750
8 Y 0.6250 0.8750 0.7500
9 Y 0.7500 0.1250 0.3750
10 Y 0.7500 0.6250 0.8750
11 Y 0.8750 0.6250 0.2500
12 Y 0.8750 0.7500 0.6250
13 Ni 0.0000 0.0000 0.0000
14 Ni 0.0000 0.0000 0.5000
15 Ni 0.0000 0.5000 0.0000
16 Ni 0.0000 0.5000 0.5000
17 Ni 0.1250 0.7500 0.8750
18 Ni 0.1250 0.8750 0.2500
19 Ni 0.2500 0.1250 0.8750
20 Ni 0.2500 0.6250 0.3750
21 Ni 0.3750 0.2500 0.6250
22 Ni 0.3750 0.6250 0.7500
23 Ni 0.5000 0.0000 0.0000
24 Ni 0.5000 0.0000 0.5000
25 Ni 0.5000 0.5000 0.0000
26 Ni 0.5000 0.5000 0.5000
27 Ni 0.6250 0.3750 0.2500
28 Ni 0.6250 0.7500 0.3750
29 Ni 0.7500 0.3750 0.6250
30 Ni 0.7500 0.8750 0.1250
31 Ni 0.8750 0.1250 0.7500
32 Ni 0.8750 0.2500 0.1250
33 H 0.0101 0.1880 0.1058
34 H 0.0101 0.3221 0.9043
35 H 0.0822 0.6880 0.6779
36 H 0.0822 0.8942 0.4043
37 H 0.0957 0.6058 0.4178
38 H 0.0957 0.9899 0.6779
39 H 0.1058 0.0101 0.1880
40 H 0.1058 0.5957 0.9178
41 H 0.1779 0.1880 0.5822
42 H 0.1779 0.4899 0.5957
43 H 0.1880 0.1058 0.0101
44 H 0.1880 0.5822 0.1779
45 H 0.3120 0.3221 0.9178
46 H 0.3120 0.4899 0.3942
47 H 0.3221 0.9043 0.0101
48 H 0.3221 0.9178 0.3120
49 H 0.3942 0.3120 0.4899
50 H 0.3942 0.5822 0.9043
51 H 0.4043 0.0822 0.8942
52 H 0.4043 0.8221 0.5101
53 H 0.4178 0.0957 0.6058
54 H 0.4178 0.8221 0.8120
55 H 0.4899 0.3942 0.3120
56 H 0.4899 0.5957 0.1779
57 H 0.5101 0.4043 0.8221
58 H 0.5101 0.6058 0.6880
59 H 0.5822 0.1779 0.1880
60 H 0.5822 0.9043 0.3942
61 H 0.5957 0.1779 0.4899
62 H 0.5957 0.9178 0.1058
63 H 0.6058 0.4178 0.0957
64 H 0.6058 0.6880 0.5101
65 H 0.6779 0.0822 0.6880
66 H 0.6779 0.0957 0.9899
67 H 0.6880 0.5101 0.6058
68 H 0.6880 0.6779 0.0822
69 H 0.8120 0.4178 0.8221
70 H 0.8120 0.8942 0.9899
71 H 0.8221 0.5101 0.4043
72 H 0.8221 0.8120 0.4178
73 H 0.8942 0.4043 0.0822
74 H 0.8942 0.9899 0.8120
75 H 0.9043 0.0101 0.3221
76 H 0.9043 0.3942 0.5822
77 H 0.9178 0.1058 0.5957
78 H 0.9178 0.3120 0.3221
79 H 0.9899 0.6779 0.0957
80 H 0.9899 0.8120 0.8942



Computed, not measured: a relaxed LaTbSmTe3 crystal at the GGA-PBE level of DFT.

Energy in eV per cell: -63.14

abc: 8.6515 4.3960 10.8972
angles: 90.00 105.31 90.00
Sites, in units of the cell vectors:
1 La 0.1898 0.2500 0.2180
2 La 0.8102 0.7500 0.7820
3 Tb 0.1549 0.2500 0.6208
4 Tb 0.8451 0.7500 0.3792
5 Sm 0.3366 0.7500 0.9086
6 Sm 0.6634 0.2500 0.0914
7 Te 0.0840 0.2500 0.8897
8 Te 0.2215 0.7500 0.4512
9 Te 0.4831 0.7500 0.2079
10 Te 0.5169 0.2500 0.7921
11 Te 0.7785 0.2500 0.5488
12 Te 0.9160 0.7500 0.1103



Computed, not measured: a relaxed NaZnPOs2 crystal at the GGA-PBE level of DFT.

Energy in eV per cell: -21.61

abc: 4.6613 4.6613 4.5434
angles: 90.00 90.00 90.00
Sites, in units of the cell vectors:
1 Na 0.0000 0.0000 0.0000
2 Zn 0.5000 0.5000 0.5000
3 P 0.5000 0.5000 0.0000
4 Os 0.0000 0.5000 0.5000
5 Os 0.5000 0.0000 0.5000



Computed, not measured: a relaxed LaAl3Se crystal at the GGA-PBE level of DFT.

E above lowest polymorph in eV per atom: 0.000

abc: 5.0471 5.0471 5.0471
angles: 90.00 90.00 90.00
Sites, in units of the cell vectors:
1 La 0.0000 0.0000 0.0000
2 Al 0.0000 0.5000 0.5000
3 Al 0.5000 0.0000 0.5000
4 Al 0.5000 0.5000 0.0000
5 Se 0.5000 0.5000 0.5000



Computed, not measured: a relaxed Np2TlS6 crystal at the GGA-PBE level of DFT.

Energy in eV per cell: -119.59

abc: 6.3627 6.3627 12.3045
angles: 90.00 90.00 90.00
Sites, in units of the cell vectors:
1 Np 0.0000 0.0000 0.1664
2 Np 0.0000 0.0000 0.8336
3 Np 0.5000 0.5000 0.3336
4 Np 0.5000 0.5000 0.6664
5 Tl 0.0000 0.0000 0.5000
6 Tl 0.5000 0.5000 0.0000
7 S 0.1760 0.1760 0.0000
8 S 0.2129 0.2129 0.3075
9 S 0.2129 0.2129 0.6925
10 S 0.2871 0.7129 0.1925
11 S 0.2871 0.7129 0.8075
12 S 0.3240 0.6760 0.5000
13 S 0.6760 0.3240 0.5000
14 S 0.7129 0.2871 0.1925
15 S 0.7129 0.2871 0.8075
16 S 0.7871 0.7871 0.3075
17 S 0.7871 0.7871 0.6925
18 S 0.8240 0.8240 0.0000



Computed, not measured: a relaxed Sc2S2Br crystal at the GGA-PBE level of DFT.

E above lowest polymorph in eV per atom: 0.000

abc: 8.3903 8.3903 8.3903
angles: 154.66 154.66 36.15
Sites, in units of the cell vectors:
1 Sc 0.1659 0.1659 0.0000
2 Sc 0.8341 0.8341 0.0000
3 S 0.3302 0.3302 0.0000
4 S 0.6698 0.6698 0.0000
5 Br 0.0000 0.0000 0.0000



| no. | magnetic moment (μB per formula unit) |
| --- | --- |
| 1 | 1.89 |
| 2 | 0.00 |
| 3 | 0.00 |
| 4 | 0.00 |
| 5 | 0.00 |
| 6 | 1.95 |
| 7 | 0.00 |
| 8 | 3.47 |
| 9 | 0.00 |